(1)
# GGA-PBE Tm12Tl5Ni2, relaxed
# Formation enthalpy at 0 K   -1.8 eV per formula unit
# Raw total energy   -4.15 eV/atom
# D(E_F)   34.7 states/eV per cell
data_Tm12Tl5Ni2
_chemical_formula_sum 'Tm24 Tl10 Ni4'
_space_group_name_H-M_alt 'C 1 2/m 1'
_space_group_IT_number 12
_space_group_name_Hall '-C 2y'
_cell_length_a 16.6170
_cell_length_b 7.3509
_cell_length_c 9.5874
_cell_angle_alpha 90.00
_cell_angle_beta 104.03
_cell_angle_gamma 90.00
loop_
_atom_site_label
_atom_site_type_symbol
_atom_site_fract_x
_atom_site_fract_y
_atom_site_fract_z
Tm1 Tm 0.0045 0.0000 0.2514
Tm2 Tm 0.0140 0.5000 0.8333
Tm3 Tm 0.1505 0.2509 0.5759
Tm4 Tm 0.1587 0.2442 0.0912
Tl1 Tl 0.0000 0.5000 0.5000
Tl2 Tl 0.1877 0.0000 0.8415
Tl3 Tl 0.1970 0.0000 0.3587
Ni1 Ni 0.0000 0.1873 0.0000

(2)
# GGA-PBE Tm4TlNi2, relaxed
# Formation enthalpy at 0 K   -1.4 eV per formula unit
# Raw total energy   -4.75 eV/atom
# D(E_F)   19.6 states/eV per cell
data_Tm4TlNi2
_chemical_formula_sum 'Tm12 Tl3 Ni6'
_space_group_name_H-M_alt 'R -3 m'
_space_group_IT_number 166
_space_group_name_Hall '-R 3 2"'
_cell_length_a 4.6491
_cell_length_b 4.6491
_cell_length_c 27.4253
_cell_angle_alpha 90.00
_cell_angle_beta 90.00
_cell_angle_gamma 120.00
loop_
_atom_site_label
_atom_site_type_symbol
_atom_site_fract_x
_atom_site_fract_y
_atom_site_fract_z
Tm1 Tm 0.0000 0.0000 0.1096
Tm2 Tm 0.0000 0.0000 0.2987
Tl1 Tl 0.0000 0.0000 0.5000
Ni1 Ni 0.0000 0.0000 0.4005

(3)
# GGA-PBE Tm12TlNi5, relaxed
# Formation enthalpy at 0 K   -6.5 eV per formula unit
# Raw total energy   -5.08 eV/atom
# D(E_F)   33.9 states/eV per cell
data_Tm12TlNi5
_chemical_formula_sum 'Tm24 Tl2 Ni10'
_space_group_name_H-M_alt 'I m m m'
_space_group_IT_number 71
_space_group_name_Hall '-I 2 2'
_cell_length_a 9.2390
_cell_length_b 9.3797
_cell_length_c 9.7605
_cell_angle_alpha 90.00
_cell_angle_beta 90.00
_cell_angle_gamma 90.00
loop_
_atom_site_label
_atom_site_type_symbol
_atom_site_fract_x
_atom_site_fract_y
_atom_site_fract_z
Tm1 Tm 0.0000 0.1914 0.2168
Tm2 Tm 0.1951 0.5000 0.1776
Tm3 Tm 0.2109 0.3182 0.5000
Tl1 Tl 0.0000 0.0000 0.5000
Ni1 Ni 0.0000 0.0000 0.0000
Ni2 Ni 0.0000 0.3615 0.0000
Ni3 Ni 0.0000 0.5000 0.3771

(4)
# GGA-PBE Tm2TlNi, relaxed
# Formation enthalpy at 0 K   -1.2 eV per formula unit
# Raw total energy   -4.56 eV/atom
# Polymorph energy (0 for the lowest one)   95 meV per atom
# D(E_F)   10.4 states/eV per cell
data_Tm2TlNi
_chemical_formula_sum 'Tm6 Tl3 Ni3'
_space_group_name_H-M_alt 'R -3 m'
_space_group_IT_number 166
_space_group_name_Hall '-R 3 2"'
_cell_length_a 3.7433
_cell_length_b 3.7433
_cell_length_c 24.7585
_cell_angle_alpha 90.00
_cell_angle_beta 90.00
_cell_angle_gamma 120.00
loop_
_atom_site_label
_atom_site_type_symbol
_atom_site_fract_x
_atom_site_fract_y
_atom_site_fract_z
Tm1 Tm 0.0000 0.0000 0.2303
Tl1 Tl 0.0000 0.0000 0.0000
Ni1 Ni 0.0000 0.0000 0.5000

(5)
# GGA-PBE Tm5TlNi2, relaxed
# Formation enthalpy at 0 K   -2.8 eV per formula unit
# Raw total energy   -4.89 eV/atom
# D(E_F)   36.8 states/eV per cell
data_Tm5TlNi2
_chemical_formula_sum 'Tm20 Tl4 Ni8'
_space_group_name_H-M_alt 'I 4/m c m'
_space_group_IT_number 140
_space_group_name_Hall '-I 4 2c'
_cell_length_a 7.5693
_cell_length_b 7.5693
_cell_length_c 13.3166
_cell_angle_alpha 90.00
_cell_angle_beta 90.00
_cell_angle_gamma 90.00
loop_
_atom_site_label
_atom_site_type_symbol
_atom_site_fract_x
_atom_site_fract_y
_atom_site_fract_z
Tm1 Tm 0.0000 0.0000 0.0000
Tm2 Tm 0.1603 0.3397 0.1335
Tl1 Tl 0.0000 0.0000 0.2500
Ni1 Ni 0.1281 0.3719 0.5000

(6)
# GGA-PBE Tm8Tl2Ni3, relaxed
# Formation enthalpy at 0 K   -2.2 eV per formula unit
# Raw total energy   -4.62 eV/atom
# D(E_F)   24.1 states/eV per cell
data_Tm8Tl2Ni3
_chemical_formula_sum 'Tm16 Tl4 Ni6'
_space_group_name_H-M_alt 'C 1 2/m 1'
_space_group_IT_number 12
_space_group_name_Hall '-C 2y'
_cell_length_a 14.3850
_cell_length_b 6.9228
_cell_length_c 7.4644
_cell_angle_alpha 90.00
_cell_angle_beta 110.05
_cell_angle_gamma 90.00
loop_
_atom_site_label
_atom_site_type_symbol
_atom_site_fract_x
_atom_site_fract_y
_atom_site_fract_z
Tm1 Tm 0.1017 0.2477 0.3769
Tm2 Tm 0.1047 0.5000 0.9687
Tm3 Tm 0.1296 0.0000 0.8447
Tl1 Tl 0.2353 0.5000 0.7239
Ni1 Ni 0.0000 0.0000 0.5000
Ni2 Ni 0.0000 0.1814 0.0000